Density functional theory data (GGA-PBE) for an optimized crystal structure of KTlMo2.

Computed properties:
- Raw total energy: -4.96 eV/atom
- Formation energy: 1.324 eV/atom

```
KTlMo2
1.0
-4.256 3.505 0.418
0.520 -2.812 -5.503
-2.004 -1.941 0.256
K Mo Tl
1 2 1
direct
0.500 0.500 0.000
0.000 0.000 0.000
0.500 0.000 0.500
0.000 0.500 0.500
```


Density functional theory data (GGA-PBE) for an optimized crystal structure of CoSbCl2.

Computed properties:
- Raw total energy: -3.88 eV/atom
- Uncorrected formation energy: -15 kJ per mole of atoms

```
CoSbCl2
1.0
6.968 0.167 -0.231
6.122 3.331 -0.231
1.133 0.303 4.664
Sb Co Cl
1 1 2
direct
0.750 0.750 0.750
0.250 0.250 0.250
0.885 0.885 0.077
0.615 0.615 0.423
```


Density functional theory data (GGA-PBE) for an optimized crystal structure of InBi.

Computed properties:
- Raw total energy: -3.29 eV/atom
- Formation energy: 0.018 eV/atom

```
InBi
1.0
-2.227 3.729 2.138
-4.714 -0.284 1.066
-1.421 -0.352 4.614
Bi In
1 1
direct
0.250 0.250 0.250
0.000 0.000 0.000
```


Number 1: total magnetization 0.000 μB/cell. Number 2: total magnetization 1.722 μB/cell. Number 3: total magnetization 0.000 μB/cell.